The following is a DFT calculation (GGA-PBE) of MnNi3H after structural relaxation.

Structure (extended XYZ):
```
5
Lattice="-1.7842 -0.0180 1.7005 -4.3171 0.7291 -4.5218 2.7178 -4.9389 2.7992" Properties=species:S:1:pos:R:3 pbc="T T T"
Ni -1.4881 -3.6840 0.1860
Ni 0.8446 -3.4297 0.8498
Ni -0.6702 -1.5310 1.0669
Mn 1.1893 -4.4352 2.9872
H -0.4159 -2.4141 -0.4620
```

## Properties
For the density of states at the Fermi level, the calculation gives 1.218 states/eV per atom. The calculation puts the total energy at -27.1 eV/cell. Its symmetry is No. 38. The value obtained for the magnetic moment is 0.75 μB/atom. The energy above the most stable polymorph in this dataset comes out at 316 kJ/mol of formula units.